First-principles (PBE-GGA) data for an optimized crystal structure of Sr2AlCd3, as listed in the Alexandria database.

a = 10.0451 Å, b = 9.5691 Å, c = 6.4056 Å
α = 75.02°, β = 66.96°, γ = 38.02°
Element x y z (fractional)
Sr1 0.2461 0.7539 0.7539
Sr2 0.2500 0.2500 0.2500
Sr3 0.7500 0.7500 0.7500
Sr4 0.7539 0.2461 0.2461
Al1 0.3339 0.3339 0.6661
Al2 0.6661 0.6661 0.3339
Cd1 0.1708 0.1708 0.8292
Cd2 0.1717 0.6579 0.3421
Cd3 0.3421 0.8283 0.1717
Cd4 0.6579 0.1717 0.8283
Cd5 0.8283 0.3421 0.6579
Cd6 0.8292 0.8292 0.1708

## Properties
Energy relative to the elements = -0.2856 eV per atom

First-principles (PBE-GGA) data for an optimized crystal structure of SrTbAlCd, as listed in the Alexandria database.

a = 5.4268 Å, b = 5.4268 Å, c = 5.4268 Å
α = 60.00°, β = 60.00°, γ = 60.00°
Element x y z (fractional)
Sr1 0.0000 0.0000 0.0000
Tb1 0.5000 0.5000 0.5000
Al1 0.7500 0.7500 0.7500
Cd1 0.2500 0.2500 0.2500

## Properties
Energy relative to the elements = -0.2235 eV per atom